Computed, not measured: crystalline SrPa4Se8 at its relaxed geometry at the PBE level of DFT.

Cell: 8.557 8.557 8.557 Å, 60.00 60.00 60.00°
Each line ends with the local moment (μB).
Element x y z (fractional)
Se 0.610 0.610 0.170  -0.03
Se 0.610 0.610 0.610  -0.03
Pa 0.370 0.370 0.890  1.29
Pa 0.370 0.370 0.370  1.29
Se 0.170 0.610 0.610  -0.03
Se 0.133 0.133 0.600  -0.03
Se 0.133 0.133 0.133  -0.03
Se 0.610 0.170 0.610  -0.03
Pa 0.890 0.370 0.370  1.29
Se 0.600 0.133 0.133  -0.03
Sr 0.750 0.750 0.750  0.01
Se 0.133 0.600 0.133  -0.03
Pa 0.370 0.890 0.370  1.29


Computed, not measured: crystalline K4Pu3PaSe8 at its relaxed geometry at the PBE level of DFT.

Cell: 8.584 9.125 8.603 Å, 118.15 119.93 90.00°
Each line ends with the local moment (μB).
Element x y z (fractional)
Se 0.263 0.293 0.527  -0.04
Se 0.230 0.706 0.976  -0.01
Se 0.230 0.705 0.460  -0.06
Se 0.254 0.294 0.024  -0.01
K 0.500 0.000 0.500  0.00
Pu 0.000 0.500 0.500  5.28
Se 0.770 0.294 0.024  -0.01
Se 0.746 0.706 0.976  -0.01
Pu 0.500 0.500 0.500  5.28
Se 0.737 0.707 0.473  -0.04
K 0.000 0.000 0.000  0.00
Pu 0.500 0.500 0.000  -5.26
Pa 0.000 0.500 0.000  0.72
Se 0.770 0.295 0.540  -0.06
K 0.000 0.000 0.500  0.00
K 0.500 0.000 0.000  0.00


Computed, not measured: crystalline KRb6I8 at its relaxed geometry at the PBE level of DFT.

Cell: 7.492 10.995 10.995 Å, 120.00 90.00 90.00°
Element x y z (fractional)
Rb 0.220 0.999 0.369
I 0.285 0.709 0.000
I 0.715 0.000 0.290
K 0.500 0.000 0.000
Rb 0.780 0.369 0.370
I 0.715 0.710 0.709
I 0.999 0.667 0.333
Rb 0.220 0.370 0.001
Rb 0.220 0.631 0.630
Rb 0.780 0.630 0.999
I 0.285 0.290 0.291
I 0.285 0.000 0.710
I 0.001 0.333 0.667
Rb 0.780 0.001 0.631
I 0.715 0.291 0.000


| no. | uncorrected formation energy (eV per atom) | calculated total energy (eV/atom) | DOS(E_F) (states/eV/atom) |
| --- | --- | --- | --- |
| 1 | -1.34 | -6.5385 | 2.069 |
| 2 | -1.44 | -6.7401 | 2.741 |
| 3 | -1.31 | -2.6019 | 1.807 |